The following is a PBE calculation of a relaxed structure of Bi6Pb, from Alexandria.

Cell: 8.774 8.774 8.774 Å, 90.00 90.00 90.00°
Space group Im-3m (No. 229)
Asymmetric unit:
Bi 0.000 0.250 0.500
Pb 0.000 0.000 0.000

Energy of formation from the pure elements   0.460 eV per atom
Magnetic moment   1.378 μB/f.u.
VASP energy   -0.12481 Ha/atom

***

The following is a PBE calculation of a relaxed structure of BiPb2, from Alexandria.

Cell: 9.277 9.277 9.277 Å, 90.00 90.00 90.00°
Space group Fd-3m (No. 227, origin choice 2)
Asymmetric unit:
Bi 0.125 0.125 0.125
Pb 0.000 0.000 0.500

Energy of formation from the pure elements   0.215 eV per atom
Magnetic moment   0.000 μB/f.u.
VASP energy   -0.13051 Ha/atom
E above lowest polymorph   175 meV per atom

***

The following is a PBE calculation of a relaxed structure of Bi3Pb2, from Alexandria.

Cell: 3.503 5.061 18.177 Å, 90.00 90.00 90.00°
Space group Immm (No. 71)
Asymmetric unit:
Bi 0.000 0.000 0.000
Bi 0.000 0.000 0.193
Pb 0.000 0.000 0.396

Energy of formation from the pure elements   0.073 eV per atom
Magnetic moment   0.000 μB/f.u.
VASP energy   -0.13739 Ha/atom
E above lowest polymorph   0 meV per atom

***

The following is a PBE calculation of a relaxed structure of BiPb3, from Alexandria.

Cell: 5.020 5.020 10.120 Å, 90.00 90.00 90.00°
Space group I4/mmm (No. 139)
Asymmetric unit:
Bi 0.000 0.000 0.000
Pb 0.000 0.000 0.500
Pb 0.000 0.500 0.250

Energy of formation from the pure elements   0.018 eV per atom
Magnetic moment   0.000 μB/f.u.
VASP energy   -0.13720 Ha/atom

***

The following is a PBE calculation of a relaxed structure of BiPb5, from Alexandria.

Cell: 6.039 17.917 3.525 Å, 90.00 90.00 90.00°
Space group Cmmm (No. 65)
Asymmetric unit:
Bi 0.000 0.000 0.000
Pb 0.000 0.165 0.500
Pb 0.000 0.331 0.000
Pb 0.000 0.500 0.500

Energy of formation from the pure elements   0.027 eV per atom
Magnetic moment   0.000 μB/f.u.
VASP energy   -0.13634 Ha/atom
E above lowest polymorph   16 meV per atom

***

The following is a PBE calculation of a relaxed structure of Bi5Pb3, from Alexandria.

Cell: 4.951 4.951 21.228 Å, 90.00 90.00 90.00°
Space group I-4m2 (No. 119)
Asymmetric unit:
Bi 0.000 0.000 0.000
Bi 0.000 0.000 0.230
Bi 0.000 0.500 0.124
Pb 0.000 0.000 0.500
Pb 0.000 0.500 0.622

Energy of formation from the pure elements   0.072 eV per atom
Magnetic moment   0.000 μB/f.u.
VASP energy   -0.13758 Ha/atom

***

The following is a PBE calculation of a relaxed structure of Bi3Pb, from Alexandria.

Cell: 4.593 6.374 4.940 Å, 90.00 90.00 90.00°
Space group Pmm2 (No. 25)
Asymmetric unit:
Bi 0.000 0.000 0.000
Bi 0.000 0.500 0.032
Bi 0.500 0.000 0.576
Pb 0.500 0.500 0.461

Energy of formation from the pure elements   0.075 eV per atom
Magnetic moment   0.000 μB/f.u.
VASP energy   -0.13829 Ha/atom
E above lowest polymorph   11 meV per atom

***

The following is a PBE calculation of a relaxed structure of Bi5Pb4, from Alexandria.

Cell: 12.208 12.208 3.840 Å, 90.00 90.00 90.00°
Space group I4/mmm (No. 139)
Asymmetric unit:
Bi 0.000 0.000 0.000
Bi 0.169 0.169 0.500
Pb 0.000 0.327 0.000

Energy of formation from the pure elements   0.072 eV per atom
Magnetic moment   0.000 μB/f.u.
VASP energy   -0.13715 Ha/atom

***

The following is a PBE calculation of a relaxed structure of BiPb, from Alexandria.

Cell: 9.2078 9.2078 5.6424 Å, 90.00 90.00 120.00°
Space group P6_3/m (No. 176)
Asymmetric unit:
Bi 0.0666 0.8223 0.2500
Pb 0.0938 0.5970 0.7500

Energy of formation from the pure elements   0.114 eV per atom
Magnetic moment   0.000 μB/f.u.
VASP energy   -0.13528 Ha/atom

***

The following is a PBE calculation of a relaxed structure of BiPb, from Alexandria.

Cell: 6.497 6.497 6.576 Å, 90.00 90.00 90.00°
Space group P4_2/mnm (No. 136)
Asymmetric unit:
Bi 0.182 0.182 0.000
Pb 0.200 0.200 0.500

Energy of formation from the pure elements   0.073 eV per atom
Magnetic moment   0.000 μB/f.u.
VASP energy   -0.13676 Ha/atom

***

The following is a PBE calculation of a relaxed structure of BiPb, from Alexandria.

Cell: 7.215 7.215 7.215 Å, 90.00 90.00 90.00°
Space group F-43m (No. 216)
Asymmetric unit:
Bi 0.000 0.000 0.000
Pb 0.250 0.250 0.250

Energy of formation from the pure elements   0.233 eV per atom
Magnetic moment   0.000 μB/f.u.
VASP energy   -0.13089 Ha/atom

***

The following is a PBE calculation of a relaxed structure of Bi4Pb3, from Alexandria.

Cell: 9.765 9.765 9.765 Å, 90.00 90.00 90.00°
Space group I-43d (No. 220)
Asymmetric unit:
Bi 0.083 0.417 0.583
Pb 0.000 0.250 0.875

Energy of formation from the pure elements   0.131 eV per atom
Magnetic moment   0.000 μB/f.u.
VASP energy   -0.13508 Ha/atom
E above lowest polymorph   10 meV per atom

***

Look up the VASP energy of the tenth one. -0.13676 Ha/atom

***

What is the energy of formation from the pure elements in the fifth record? 0.027 eV per atom

***

Which of these has the highest magnetic moment? Bi6Pb